The following is a DFT calculation (PBE) of an optimized crystal structure of KTl3Ag2I6.

Calculated values
volume = 40.6 Å³ per atom
final energy = -30.6 eV/f.u.
Fermi-level density of states = 0.000 states/eV/atom
E_form (uncorrected) = -618 meV/atom

a b c (Å): 4.9244 10.1765 10.3102
angles (deg): 103.40 103.82 90.00
Element x y z (fractional)
Tl: 0.1540 0.8023 0.3080
Tl: 0.8460 0.1977 0.6920
Tl: 0.5000 0.5000 0.0000
I: 0.0357 0.2697 0.0715
I: 0.6740 0.0781 0.3479
I: 0.6843 0.5963 0.3685
I: 0.3157 0.4037 0.6315
I: 0.3260 0.9219 0.6521
I: 0.9643 0.7303 0.9285
Ag: 0.8227 0.7551 0.6453
Ag: 0.1773 0.2449 0.3547
K: 0.5000 0.0000 0.0000